(1)
6
Lattice="3.587 0.000 0.000 0.000 3.587 0.000 0.000 0.000 8.604" Properties=species:S:1:pos:R:3 comment="TiSiSn, optimized geometry, DFT PBE-GGA" total_energy_ev_per_cell=-36.4 crystal_system=tetragonal pbc="T T T"
Ti 0.897 0.897 1.944
Ti 2.690 2.690 6.660
Si 0.897 2.690 0.000
Si 2.690 0.897 0.000
Sn 0.897 0.897 5.218
Sn 2.690 2.690 3.386

(2)
16
Lattice="7.208 0.000 0.000 0.000 7.208 0.000 0.000 0.000 5.730" Properties=species:S:1:pos:R:3 comment="Ti2SiSn, optimized geometry, DFT PBE-GGA" total_energy_ev_per_cell=-102.9 crystal_system=tetragonal pbc="T T T"
Ti 1.616 1.802 0.716
Ti 1.802 5.220 2.149
Ti 1.802 5.592 5.014
Ti 1.988 1.802 3.581
Ti 5.220 5.406 3.581
Ti 5.406 1.616 5.014
Ti 5.406 1.988 2.149
Ti 5.592 5.406 0.716
Si 0.000 0.000 0.000
Si 0.000 3.604 1.433
Si 3.604 0.000 4.298
Si 3.604 3.604 2.865
Sn 0.000 0.000 2.865
Sn 0.000 3.604 4.298
Sn 3.604 0.000 1.433
Sn 3.604 3.604 0.000

(3)
19
Lattice="5.104 2.947 3.917 -5.104 2.947 3.917 0.000 -5.893 3.917" Properties=species:S:1:pos:R:3 comment="Ti12SiSn6, optimized geometry, DFT PBE-GGA" total_energy_ev_per_cell=-127.4 crystal_system=trigonal pbc="T T T"
Ti -4.652 1.182 4.974
Ti -3.350 -3.437 6.777
Ti -1.584 -0.399 3.678
Ti 1.302 -4.620 4.974
Ti 1.138 -1.172 3.678
Ti 0.447 1.571 3.678
Ti -0.447 -1.571 8.073
Ti -1.138 1.172 8.073
Ti -1.302 4.620 6.777
Ti 1.584 0.399 8.073
Ti 3.350 3.437 4.974
Ti 4.652 -1.182 6.777
Si 0.000 0.000 5.876
Sn -0.872 -2.793 5.336
Sn -2.855 -0.642 6.416
Sn -1.983 2.151 5.336
Sn 1.983 -2.151 6.416
Sn 2.855 0.642 5.336
Sn 0.872 2.793 6.416

(4)
10
Lattice="6.732 0.000 0.000 0.000 6.732 0.000 0.000 0.000 4.304" Properties=species:S:1:pos:R:3 comment="Ti2SiSn2, optimized geometry, DFT PBE-GGA" total_energy_ev_per_cell=-61.1 crystal_system=tetragonal pbc="T T T"
Ti 1.074 2.292 0.000
Ti 2.292 5.658 0.000
Ti 4.440 1.074 0.000
Ti 5.658 4.440 0.000
Si 0.000 0.000 0.000
Si 3.366 3.366 0.000
Sn 1.048 4.414 2.152
Sn 2.318 1.048 2.152
Sn 4.414 5.684 2.152
Sn 5.684 2.318 2.152

(5)
10
Lattice="6.833 0.000 0.000 0.000 6.833 0.000 0.000 0.000 4.182" Properties=species:S:1:pos:R:3 comment="TiSi2Sn2, optimized geometry, DFT PBE-GGA" total_energy_ev_per_cell=-52.5 crystal_system=tetragonal pbc="T T T"
Ti 0.000 0.000 0.000
Ti 3.417 3.417 0.000
Si 0.883 2.534 0.000
Si 2.534 5.951 0.000
Si 4.299 0.883 0.000
Si 5.951 4.299 0.000
Sn 1.210 4.626 2.091
Sn 2.207 1.210 2.091
Sn 4.626 5.624 2.091
Sn 5.624 2.207 2.091

(6)
11
Lattice="3.890 -4.714 0.000 3.890 4.714 0.000 0.000 0.000 5.842" Properties=species:S:1:pos:R:3 comment="Ti7Si2Sn2, optimized geometry, DFT PBE-GGA" total_energy_ev_per_cell=-75.3 crystal_system=orthorhombic pbc="T T T"
Ti 0.000 0.000 0.000
Ti 1.945 2.357 1.491
Ti 1.945 2.357 4.351
Ti 1.945 -2.357 1.491
Ti 1.945 -2.357 4.351
Ti 3.890 0.000 1.457
Ti 3.890 0.000 4.385
Si 3.890 2.129 0.000
Si 3.890 -2.129 0.000
Sn 1.423 0.000 2.921
Sn 6.356 0.000 2.921

(7)
10
Lattice="3.966 0.000 0.000 0.000 3.966 0.000 0.000 0.000 14.051" Properties=species:S:1:pos:R:3 comment="TiSi2Sn2, optimized geometry, DFT PBE-GGA" total_energy_ev_per_cell=-48.4 crystal_system=tetragonal pbc="T T T"
Ti 0.000 0.000 0.000
Ti 1.983 1.983 7.025
Si 0.000 0.000 5.883
Si 0.000 0.000 8.168
Si 1.983 1.983 1.143
Si 1.983 1.983 12.908
Sn 0.000 1.983 3.513
Sn 0.000 1.983 10.538
Sn 1.983 0.000 3.513
Sn 1.983 0.000 10.538

(8)
16
Lattice="-3.344 3.344 5.963 3.344 -3.344 5.963 3.344 3.344 -5.963" Properties=species:S:1:pos:R:3 comment="Ti5Si2Sn, optimized geometry, DFT PBE-GGA" total_energy_ev_per_cell=-118.3 crystal_system=tetragonal pbc="T T T"
Ti 0.000 0.000 0.000
Ti 4.426 1.082 -1.706
Ti 1.082 2.262 -1.706
Ti 4.426 1.082 1.706
Ti 1.082 2.262 1.706
Ti 0.000 0.000 5.963
Ti 2.262 1.082 4.256
Ti -1.082 2.262 4.256
Ti 2.262 1.082 7.669
Ti -1.082 2.262 7.669
Si 2.457 0.887 0.000
Si 2.457 -0.887 5.963
Si 0.887 4.230 0.000
Si 0.887 2.457 5.963
Sn 0.000 0.000 2.981
Sn 0.000 0.000 8.944

(9)
5
Lattice="5.129 0.000 0.000 0.000 5.129 0.000 0.000 0.000 5.129" Properties=species:S:1:pos:R:3 comment="TiSiSn3, optimized geometry, DFT PBE-GGA" total_energy_ev_per_cell=-21.1 crystal_system=cubic pbc="T T T"
Ti 0.000 0.000 0.000
Si 2.564 2.564 2.564
Sn 0.000 2.564 2.564
Sn 2.564 0.000 2.564
Sn 2.564 2.564 0.000

(10)
5
Lattice="4.640 0.000 0.000 0.000 4.640 0.000 0.000 0.000 5.057" Properties=species:S:1:pos:R:3 comment="TiSiSnW2, optimized geometry, DFT PBE-GGA" total_energy_ev_per_cell=-33.9 crystal_system=tetragonal pbc="T T T"
Ti 0.000 0.000 0.000
Si 2.320 2.320 2.528
Sn 0.000 0.000 2.528
W 0.000 2.320 0.000
W 2.320 0.000 0.000

(11)
10
Lattice="3.479 0.000 0.000 0.000 3.479 0.000 0.000 0.000 20.037" Properties=species:S:1:pos:R:3 comment="TlSi2Sn2, optimized geometry, DFT PBE-GGA" total_energy_ev_per_cell=-40.2 crystal_system=tetragonal pbc="T T T"
Tl 0.000 0.000 0.000
Tl 1.740 1.740 10.018
Si 0.000 1.740 5.009
Si 0.000 1.740 15.028
Si 1.740 0.000 5.009
Si 1.740 0.000 15.028
Sn 0.000 0.000 7.521
Sn 0.000 0.000 12.516
Sn 1.740 1.740 2.497
Sn 1.740 1.740 17.540

(12)
10
Lattice="8.074 0.000 0.000 0.000 8.074 0.000 0.000 0.000 3.731" Properties=species:S:1:pos:R:3 comment="TlSi2Sn2, optimized geometry, DFT PBE-GGA" total_energy_ev_per_cell=-39.3 crystal_system=tetragonal pbc="T T T"
Tl 0.000 0.000 0.000
Tl 4.037 4.037 0.000
Si 0.917 3.120 0.000
Si 3.120 7.157 0.000
Si 4.954 0.917 0.000
Si 7.157 4.954 0.000
Sn 1.270 5.307 1.865
Sn 2.767 1.270 1.865
Sn 5.307 6.804 1.865
Sn 6.804 2.767 1.865